CdPdBr3 after structural relaxation. Source: the Alexandria database, functional PBE-GGA.

The calculation puts the formation energy (no corrections) at -0.17 eV/atom. Its energy is -11.99 eV for the cell shown. The calculation puts the density of states at the Fermi level at 0.684 states/eV/atom. As for the energy above the most stable polymorph in this dataset: 0.0 meV/atom.

a b c (Å): 5.1641 5.1641 5.1641
angles (deg): 90.00 90.00 90.00
Closest atoms and distances in Å follow each position.
Element x y z (fractional)
Cd (0.0000, 0.0000, 0.0000)  12 Br 3.65
Pd (0.5000, 0.5000, 0.5000)  6 Br 2.58
Br (0.0000, 0.5000, 0.5000)  2 Pd 2.58
Br (0.5000, 0.0000, 0.5000)  2 Pd 2.58
Br (0.5000, 0.5000, 0.0000)  2 Pd 2.58